The following is a PBE calculation of a relaxed structure of KTlCuBr5, from Alexandria.

Computed properties:
The calculation puts the mass density at 4.20 g/cm³. Its total energy is -2.76 eV per atom. Its total magnetization is 0.0 μB/f.u.

Structure (extended XYZ):
```
16
Lattice="-5.8169 -4.5899 2.1977 6.4085 -2.9740 3.1338 -1.6094 9.0179 5.4515" Properties=species:S:1:pos:R:3 pbc="T T T"
K 1.7523 -1.2817 4.1710
K -2.7702 2.7358 6.6121
Tl -0.8047 4.5090 2.7258
Tl 0.0000 0.0000 0.0000
Cu -2.4492 -1.8371 3.8493
Cu 1.4313 3.2912 6.9338
Br 5.0021 -0.8522 4.4198
Br -6.0200 2.3063 6.3632
Br -3.3166 -4.0777 3.5785
Br 2.2987 5.5318 7.2046
Br -3.8964 0.0976 3.9428
Br 2.8785 1.3565 6.8402
Br -1.1149 -1.4331 5.8762
Br 0.0970 2.8872 4.9069
Br -0.7681 -1.8425 2.0533
Br -0.2498 3.2966 8.7298
```